No. 1
Er4AlAg | PBE-GGA | relaxed

Calculated values
excess energy over the best structure of this formula in the dataset	201	meV per atom
E_form	-0.016	eV per atom

a = 11.0701 Å, b = 11.0701 Å, c = 6.3254 Å
α = 90.00°, β = 90.00°, γ = 153.28°
Sites, in units of the cell vectors:
Er 0.0643 0.9357 0.5000
Er 0.1930 0.8070 0.8050
Er 0.2146 0.7854 0.3198
Er 0.3743 0.6257 0.5801
Er 0.6257 0.3743 0.0801
Er 0.7854 0.2146 0.8198
Er 0.8070 0.1930 0.3050
Er 0.9357 0.0643 0.0000
Al 0.3403 0.6597 0.0578
Al 0.6597 0.3403 0.5578
Ag 0.0700 0.9300 0.0054
Ag 0.9300 0.0700 0.5054


No. 2
SnP2PdS | PBE-GGA | relaxed

Calculated values
excess energy over the best structure of this formula in the dataset	0	meV per atom
formation energy (no corrections)	0.51	eV per atom

a = 4.6164 Å, b = 4.6164 Å, c = 5.0991 Å
α = 90.00°, β = 90.00°, γ = 90.00°
Sites, in units of the cell vectors:
Sn 0.0000 0.0000 0.0000
P 0.0000 0.5000 0.5000
P 0.5000 0.0000 0.5000
Pd 0.5000 0.5000 0.5000
S 0.5000 0.5000 0.0000


No. 3
Li6HgPd3 | PBE-GGA | relaxed

Calculated values
excess energy over the best structure of this formula in the dataset	0	meV per atom
E_form	-0.374	eV per atom

a = 7.6499 Å, b = 4.3268 Å, c = 9.2123 Å
α = 90.00°, β = 104.61°, γ = 90.00°
Sites, in units of the cell vectors:
Li 0.0394 0.2500 0.4005
Li 0.1255 0.7500 0.1961
Li 0.2275 0.2500 0.9810
Li 0.3234 0.7500 0.7833
Li 0.3385 0.2500 0.2976
Li 0.4361 0.2500 0.5879
Li 0.5639 0.7500 0.4121
Li 0.6615 0.7500 0.7024
Li 0.6766 0.2500 0.2167
Li 0.7725 0.7500 0.0190
Li 0.8745 0.2500 0.8039
Li 0.9606 0.7500 0.5995
Hg 0.4433 0.7500 0.1070
Hg 0.5567 0.2500 0.8930
Pd 0.0487 0.7500 0.9009
Pd 0.1478 0.2500 0.6899
Pd 0.2459 0.7500 0.4890
Pd 0.7541 0.2500 0.5110
Pd 0.8522 0.7500 0.3101
Pd 0.9513 0.2500 0.0991


No. 4
Tb2ErSb | PBE-GGA | relaxed

Calculated values
excess energy over the best structure of this formula in the dataset	0	meV per atom
formation energy (no corrections)	-0.53	eV per atom

a = 4.5706 Å, b = 4.5260 Å, c = 11.4463 Å
α = 90.00°, β = 101.52°, γ = 90.00°
Sites, in units of the cell vectors:
Tb 0.0617 0.2500 0.1236
Tb 0.4351 0.2500 0.8705
Tb 0.5649 0.7500 0.1295
Tb 0.9383 0.7500 0.8764
Er 0.3067 0.7500 0.6142
Er 0.6933 0.2500 0.3858
Sb 0.1709 0.7500 0.3404
Sb 0.8291 0.2500 0.6596


No. 5
CuAgF6 | PBE-GGA | relaxed

Calculated values
formation energy (no corrections)	-1.16	eV per atom

a = 4.9647 Å, b = 4.9647 Å, c = 4.7441 Å
α = 90.00°, β = 90.00°, γ = 120.00°
Sites, in units of the cell vectors:
Cu 0.0000 0.0000 0.0000
Ag 0.6667 0.3333 0.5000
F 0.3147 0.0056 0.7639
F 0.3147 0.3092 0.2361
F 0.6908 0.0056 0.2361
F 0.6908 0.6853 0.7639
F 0.9944 0.3092 0.7639
F 0.9944 0.6853 0.2361


No. 6
ZnCdGeBr2 | PBE-GGA | relaxed

Calculated values
formation energy (no corrections)	-0.08	eV per atom

a = 5.4529 Å, b = 5.4529 Å, c = 5.0387 Å
α = 90.00°, β = 90.00°, γ = 90.00°
Sites, in units of the cell vectors:
Zn 0.0000 0.0000 0.0000
Cd 0.5000 0.5000 0.0000
Ge 0.0000 0.0000 0.5000
Br 0.0000 0.5000 0.5000
Br 0.5000 0.0000 0.5000


No. 7
GePWCl2 | PBE-GGA | relaxed

Calculated values
excess energy over the best structure of this formula in the dataset	671	meV per atom
formation energy (no corrections)	1.13	eV per atom

a = 4.6951 Å, b = 4.6951 Å, c = 5.1398 Å
α = 90.00°, β = 90.00°, γ = 90.00°
Sites, in units of the cell vectors:
Ge 0.0000 0.0000 0.0000
P 0.0000 0.0000 0.5000
W 0.5000 0.5000 0.5000
Cl 0.0000 0.5000 0.0000
Cl 0.5000 0.0000 0.0000


No. 8
FePt2Pb | PBE-GGA | relaxed

Calculated values
E_form	0.081	eV per atom

a = 4.7019 Å, b = 4.7019 Å, c = 4.9247 Å
α = 103.08°, β = 103.08°, γ = 42.32°
Sites, in units of the cell vectors:
Fe 0.0000 0.0000 0.0000
Pt 0.2669 0.2669 0.7899
Pt 0.7331 0.7331 0.2101
Pb 0.5000 0.5000 0.5000


No. 9
ErHfSc2Rh4 | PBE-GGA | relaxed

Calculated values
E_form	-0.971	eV per atom

a = 8.0645 Å, b = 8.0645 Å, c = 8.0645 Å
α = 33.44°, β = 33.44°, γ = 33.44°
Sites, in units of the cell vectors:
Er 0.0000 0.0000 0.0000
Hf 0.5000 0.5000 0.5000
Sc 0.2492 0.2492 0.2492
Sc 0.7508 0.7508 0.7508
Rh 0.1289 0.1289 0.1289
Rh 0.3796 0.3796 0.3796
Rh 0.6204 0.6204 0.6204
Rh 0.8711 0.8711 0.8711


No. 10
SrIn3Ag3 | PBE-GGA | relaxed

Calculated values
excess energy over the best structure of this formula in the dataset	0	meV per atom
E_form	-0.154	eV per atom

a = 7.5035 Å, b = 7.5035 Å, c = 7.5035 Å
α = 70.96°, β = 70.96°, γ = 70.96°
Sites, in units of the cell vectors:
Sr 0.1730 0.1730 0.1730
Sr 0.8270 0.8270 0.8270
In 0.0544 0.7037 0.3661
In 0.2963 0.6339 0.9456
In 0.3661 0.0544 0.7037
In 0.6339 0.9456 0.2963
In 0.7037 0.3661 0.0544
In 0.9456 0.2963 0.6339
Ag 0.1780 0.4530 0.7291
Ag 0.2709 0.8220 0.5470
Ag 0.4530 0.7291 0.1780
Ag 0.5470 0.2709 0.8220
Ag 0.7291 0.1780 0.4530
Ag 0.8220 0.5470 0.2709


No. 11
SrAs2P | PBE-GGA | relaxed

Calculated values
E_form	-0.322	eV per atom

a = 6.4736 Å, b = 6.4736 Å, c = 6.4736 Å
α = 111.02°, β = 111.02°, γ = 106.42°
Sites, in units of the cell vectors:
Sr 0.0000 0.0000 0.0000
Sr 0.7500 0.2500 0.5000
As 0.2105 0.6250 0.0855
As 0.3750 0.4605 0.5855
As 0.5395 0.1250 0.9145
As 0.8750 0.7895 0.4145
P 0.2500 0.7500 0.5000
P 0.5000 0.5000 0.0000


No. 12
TmIrPd2 | PBE-GGA | relaxed

Calculated values
E_form	-0.662	eV per atom

a = 4.0903 Å, b = 4.0903 Å, c = 4.0311 Å
α = 90.00°, β = 90.00°, γ = 90.00°
Sites, in units of the cell vectors:
Tm 0.0000 0.0000 0.0000
Ir 0.5000 0.5000 0.0000
Pd 0.0000 0.5000 0.5000
Pd 0.5000 0.0000 0.5000


For reference, calculated density by record: 7659 4877 6320 8687 4680 4547 5252 15253 9918 6859 4278 14132 kg/m3.
For reference, magnetization by record: 0.00 0.67 0.00 0.00 0.01 0.00 3.69 3.33 0.00 0.00 0.00 0.00 μB per formula unit.
For reference, uncorrected energy by record: -49.88 -21.57 -62.20 -40.16 -27.47 -10.55 -21.02 -23.93 -64.35 -39.06 -35.36 -26.36 eV for the cell shown.